Run 1
Below is CrAg2H2 after structural relaxation, with properties calculated at the PBE level.

Cell: 4.4951 4.4951 4.4951 Å, 118.89 118.89 91.94°
Last column: nearest neighbours and their distance in Å.
Sites, in units of the cell vectors:
Cr  0.0000  0.0000  0.0000  2 H 1.78
Ag  0.2500  0.7500  0.5000  4 H 2.30
Ag  0.7500  0.2500  0.5000  4 H 2.30
H  0.2842  0.2842  0.0000  1 Cr 1.78
H  0.7158  0.7158  0.0000  1 Cr 1.78

Computed properties:
Symmetry: No. 139
V (Å³/atom): 13.1
Crystal system: tetragonal

Run 2
Below is CrAg2H2 after structural relaxation, with properties calculated at the PBE level.

Cell: 5.4382 5.4382 4.1930 Å, 90.00 90.00 90.00°
Last column: nearest neighbours and their distance in Å.
Sites, in units of the cell vectors:
Cr  0.0000  0.0000  0.0000  4 H 1.94
Cr  0.5000  0.5000  0.0000  4 H 1.94
Ag  0.1907  0.3093  0.5000  2 H 2.11
Ag  0.3093  0.8093  0.5000  2 H 2.11
Ag  0.6907  0.1907  0.5000  2 H 2.11
Ag  0.8093  0.6907  0.5000  2 H 2.11
H  0.2162  0.2838  0.0000  2 Cr 1.94, 2 Ag 2.11
H  0.2838  0.7838  0.0000  2 Cr 1.94, 2 Ag 2.11
H  0.7162  0.2162  0.0000  2 Cr 1.94, 2 Ag 2.11
H  0.7838  0.7162  0.0000  2 Cr 1.94, 2 Ag 2.11

Computed properties:
Symmetry: No. 127
V (Å³/atom): 12.4
Crystal system: tetragonal

Referenced to the most stable arrangement, the calculated values in kJ/mol of atoms are run 1 27.3; run 2 0.0.

Run 1
Below is CrAg3H after structural relaxation, with properties calculated at the PBE level.

Cell: 4.2004 4.2004 4.2004 Å, 90.00 90.00 90.00°
Last column: nearest neighbours and their distance in Å.
Sites, in units of the cell vectors:
Cr  0.0000  0.0000  0.0000  12 Ag 2.97
Ag  0.0000  0.5000  0.5000  2 H 2.10
Ag  0.5000  0.0000  0.5000  2 H 2.10
Ag  0.5000  0.5000  0.0000  2 H 2.10
H  0.5000  0.5000  0.5000  6 Ag 2.10

Computed properties:
Symmetry: No. 221
V (Å³/atom): 14.8
Crystal system: cubic

Run 2
Below is CrAg3H after structural relaxation, with properties calculated at the PBE level.

Cell: 5.1419 5.1419 5.1419 Å, 90.00 90.00 90.00°
Last column: nearest neighbours and their distance in Å.
Sites, in units of the cell vectors:
Cr  0.0000  0.0000  0.0000  6 Ag 2.57
Ag  0.0000  0.0000  0.5000  2 Cr 2.57
Ag  0.0000  0.5000  0.0000  2 Cr 2.57
Ag  0.5000  0.0000  0.0000  2 Cr 2.57
H  0.5000  0.5000  0.5000  12 Ag 3.64

Computed properties:
Symmetry: No. 221
V (Å³/atom): 27.2
Crystal system: cubic

Referenced to the most stable arrangement, the calculated values in kJ/mol of atoms are run 1 0.0; run 2 101.6.

Run 1
Below is Cr2AgH after structural relaxation, with properties calculated at the PBE level.

Cell: 4.1186 4.1186 4.1186 Å, 60.00 60.00 60.00°
Last column: nearest neighbours and their distance in Å.
Sites, in units of the cell vectors:
Cr  0.2500  0.2500  0.2500  4 H 2.52, 4 Ag 2.52
Cr  0.7500  0.7500  0.7500  4 H 2.52, 4 Ag 2.52
Ag  0.0000  0.0000  0.0000  8 Cr 2.52
H  0.5000  0.5000  0.5000  8 Cr 2.52

Computed properties:
Symmetry: No. 225
V (Å³/atom): 12.4
Crystal system: cubic

Run 2
Below is Cr2AgH after structural relaxation, with properties calculated at the PBE level.

Cell: 5.1212 5.1212 5.1212 Å, 60.00 60.00 60.00°
Last column: nearest neighbours and their distance in Å.
Sites, in units of the cell vectors:
Cr  0.0000  0.0000  0.0000  2 H 1.57
Cr  0.0000  0.0000  0.5000  2 H 1.57
Cr  0.0000  0.5000  0.0000  2 H 1.57
Cr  0.5000  0.0000  0.0000  2 H 1.57
Ag  0.3750  0.3750  0.3750  12 Cr 3.00, 4 H 3.14, 4 Ag 3.14
Ag  0.6250  0.6250  0.6250  12 Cr 3.00, 4 Ag 3.14, 4 H 3.14
H  0.1250  0.1250  0.1250  4 Cr 1.57
H  0.8750  0.8750  0.8750  4 Cr 1.57

Computed properties:
Symmetry: No. 227
V (Å³/atom): 11.9
Crystal system: cubic

Referenced to the most stable arrangement, the calculated values in kJ/mol of atoms are run 1 67.8; run 2 0.0.

Run 1
Below is HfCrAg3 after structural relaxation, with properties calculated at the PBE level.

Cell: 5.1923 5.1923 5.1923 Å, 90.00 90.00 90.00°
Last column: nearest neighbours and their distance in Å.
Sites, in units of the cell vectors:
Hf  0.0000  0.0000  0.0000  6 Ag 2.60
Cr  0.5000  0.5000  0.5000  12 Ag 3.67
Ag  0.0000  0.0000  0.5000  2 Hf 2.60
Ag  0.0000  0.5000  0.0000  2 Hf 2.60
Ag  0.5000  0.0000  0.0000  2 Hf 2.60

Computed properties:
Symmetry: No. 221
V (Å³/atom): 28.0
Crystal system: cubic

Run 2
Below is HfCrAg3 after structural relaxation, with properties calculated at the PBE level.

Cell: 4.8239 4.8239 4.8239 Å, 90.00 90.00 90.00°
Last column: nearest neighbours and their distance in Å.
Sites, in units of the cell vectors:
Hf  0.0000  0.0000  0.0000  12 Ag 3.41
Cr  0.5000  0.5000  0.5000  6 Ag 2.41
Ag  0.0000  0.5000  0.5000  2 Cr 2.41
Ag  0.5000  0.0000  0.5000  2 Cr 2.41
Ag  0.5000  0.5000  0.0000  2 Cr 2.41

Computed properties:
Symmetry: No. 221
V (Å³/atom): 22.4
Crystal system: cubic

Referenced to the most stable arrangement, the calculated values in kJ/mol of atoms are run 1 28.3; run 2 0.0.

Run 1
Below is HfCrAg2Hg after structural relaxation, with properties calculated at the PBE level.

Cell: 5.1358 5.1358 5.2745 Å, 90.00 90.00 90.00°
Last column: nearest neighbours and their distance in Å.
Sites, in units of the cell vectors:
Hf  0.0000  0.0000  0.0000  2 Hg 2.64
Cr  0.5000  0.5000  0.0000  4 Hf 3.63, 8 Ag 3.68
Ag  0.0000  0.5000  0.5000  2 Hg 2.57
Ag  0.5000  0.0000  0.5000  2 Hg 2.57
Hg  0.0000  0.0000  0.5000  4 Ag 2.57, 2 Hf 2.64

Computed properties:
Symmetry: No. 123
V (Å³/atom): 27.8
Crystal system: tetragonal

Run 2
Below is HfCrAg2Hg after structural relaxation, with properties calculated at the PBE level.

Cell: 5.2434 5.2434 5.4156 Å, 90.00 90.00 90.00°
Last column: nearest neighbours and their distance in Å.
Sites, in units of the cell vectors:
Hf  0.0000  0.0000  0.0000  4 Ag 2.62, 2 Hg 2.71
Cr  0.5000  0.5000  0.5000  4 Hg 3.71, 8 Ag 3.77
Ag  0.0000  0.5000  0.0000  2 Hf 2.62
Ag  0.5000  0.0000  0.0000  2 Hf 2.62
Hg  0.0000  0.0000  0.5000  2 Hf 2.71

Computed properties:
Symmetry: No. 123
V (Å³/atom): 29.8
Crystal system: tetragonal

Referenced to the most stable arrangement, the calculated values in kJ/mol of atoms are run 1 0.0; run 2 3.1.

Run 1
Below is CrAgI2N after structural relaxation, with properties calculated at the PBE level.

Cell: 5.7938 5.7938 3.8568 Å, 90.00 90.00 90.00°
Last column: nearest neighbours and their distance in Å.
Sites, in units of the cell vectors:
Cr  0.0000  0.0000  0.0000  8 I 3.48, 2 Cr 3.86
Ag  0.5000  0.5000  0.5000  2 N 1.93
I  0.0000  0.5000  0.5000  2 Ag 2.90
I  0.5000  0.0000  0.5000  2 Ag 2.90
N  0.5000  0.5000  0.0000  2 Ag 1.93

Computed properties:
Symmetry: No. 123
V (Å³/atom): 25.9
Crystal system: tetragonal

Run 2
Below is CrAgI2N after structural relaxation, with properties calculated at the PBE level.

Cell: 5.6593 5.6593 3.6471 Å, 90.00 90.00 90.00°
Last column: nearest neighbours and their distance in Å.
Sites, in units of the cell vectors:
Cr  0.0000  0.0000  0.0000  2 N 1.82
Ag  0.5000  0.5000  0.5000  8 I 3.37, 2 Ag 3.65
I  0.0000  0.5000  0.0000  2 Cr 2.83
I  0.5000  0.0000  0.0000  2 Cr 2.83
N  0.0000  0.0000  0.5000  2 Cr 1.82

Computed properties:
Symmetry: No. 123
V (Å³/atom): 23.4
Crystal system: tetragonal

Referenced to the most stable arrangement, the calculated values in kJ/mol of atoms are run 1 153.0; run 2 0.0.